1.
# Ti7In2Ge2 PBE optimized geometry
data_Ti7In2Ge2
_chemical_formula_sum 'Ti14 In4 Ge4'
_symmetry_space_group_name_H-M 'C m m m'
_symmetry_Int_Tables_number 65
_symmetry_space_group_name_Hall '-C 2 2'
_cell_length_a 7.662
_cell_length_b 9.507
_cell_length_c 6.025
_cell_angle_alpha 90.00
_cell_angle_beta 90.00
_cell_angle_gamma 90.00
loop_
_atom_site_label
_atom_site_type_symbol
_atom_site_fract_x
_atom_site_fract_y
_atom_site_fract_z
Ti1 Ti 0.000 0.000 0.000
Ti2 Ti 0.000 0.500 0.259
Ti3 Ti 0.250 0.250 0.263
In1 In 0.179 0.000 0.500
Ge1 Ge 0.000 0.279 0.000
# Theoretical density = 5.37 g cm⁻³
# Energy of formation = 0.41 eV per formula unit
# Crystal system = orthorhombic


2.
# CdMoP PBE optimized geometry
data_CdMoP
_chemical_formula_sum 'Cd4 Mo4 P4'
_symmetry_space_group_name_H-M 'F m m 2'
_symmetry_Int_Tables_number 42
_symmetry_space_group_name_Hall 'F 2 -2'
_cell_length_a 3.311
_cell_length_b 4.759
_cell_length_c 13.932
_cell_angle_alpha 90.00
_cell_angle_beta 90.00
_cell_angle_gamma 90.00
loop_
_atom_site_label
_atom_site_type_symbol
_atom_site_fract_x
_atom_site_fract_y
_atom_site_fract_z
Cd1 Cd 0.000 0.000 0.000
Mo1 Mo 0.000 0.000 0.674
P1 P 0.000 0.000 0.296
# Theoretical density = 7.24 g cm⁻³
# Energy of formation = 0.69 eV per formula unit
# Offset from the most stable computed form = 0.268 eV/atom
# Crystal system = orthorhombic


3.
# ZrNpZn PBE optimized geometry
data_ZrNpZn
_chemical_formula_sum 'Zr8 Np8 Zn8'
_symmetry_space_group_name_H-M 'F m m m'
_symmetry_Int_Tables_number 69
_symmetry_space_group_name_Hall '-F 2 2'
_cell_length_a 4.752
_cell_length_b 9.403
_cell_length_c 11.060
_cell_angle_alpha 90.00
_cell_angle_beta 90.00
_cell_angle_gamma 90.00
loop_
_atom_site_label
_atom_site_type_symbol
_atom_site_fract_x
_atom_site_fract_y
_atom_site_fract_z
Zr1 Zr 0.000 0.000 0.141
Np1 Np 0.000 0.177 0.500
Zn1 Zn 0.250 0.250 0.250
# Theoretical density = 10.58 g cm⁻³
# Energy of formation = 0.23 eV per formula unit
# Crystal system = orthorhombic


4.
# Tb9Nd2Y PBE optimized geometry
data_Tb9Nd2Y
_chemical_formula_sum 'Tb9 Nd2 Y1'
_symmetry_space_group_name_H-M 'P 4/m m m'
_symmetry_Int_Tables_number 123
_symmetry_space_group_name_Hall '-P 4 2'
_cell_length_a 5.068
_cell_length_b 5.068
_cell_length_c 15.195
_cell_angle_alpha 90.00
_cell_angle_beta 90.00
_cell_angle_gamma 90.00
loop_
_atom_site_label
_atom_site_type_symbol
_atom_site_fract_x
_atom_site_fract_y
_atom_site_fract_z
Tb1 Tb 0.000 0.000 0.000
Tb2 Tb 0.000 0.000 0.333
Tb3 Tb 0.000 0.500 0.165
Tb4 Tb 0.000 0.500 0.500
Nd1 Nd 0.500 0.500 0.333
Y1 Y 0.500 0.500 0.000
# Theoretical density = 7.69 g cm⁻³
# Energy of formation = 0.24 eV per formula unit
# Crystal system = tetragonal


5.
# CaScTlCl6 PBE optimized geometry
data_CaScTlCl6
_chemical_formula_sum 'Ca2 Sc2 Tl2 Cl12'
_symmetry_space_group_name_H-M 'P -3 1 c'
_symmetry_Int_Tables_number 163
_symmetry_space_group_name_Hall '-P 3 2c'
_cell_length_a 6.9370
_cell_length_b 6.9370
_cell_length_c 13.7824
_cell_angle_alpha 90.00
_cell_angle_beta 90.00
_cell_angle_gamma 120.00
loop_
_atom_site_label
_atom_site_type_symbol
_atom_site_fract_x
_atom_site_fract_y
_atom_site_fract_z
Ca1 Ca 0.3333 0.6667 0.2500
Sc1 Sc 0.3333 0.6667 0.7500
Tl1 Tl 0.0000 0.0000 0.0000
Cl1 Cl 0.0257 0.3857 0.6440
# Theoretical density = 2.90 g cm⁻³
# Raw total energy = -79.406 eV for the cell shown
# Crystal system = trigonal


6.
# Li8Ga6Pd PBE optimized geometry
data_Li8Ga6Pd
_chemical_formula_sum 'Li24 Ga18 Pd3'
_symmetry_space_group_name_H-M 'R -3'
_symmetry_Int_Tables_number 148
_symmetry_space_group_name_Hall '-R 3'
_cell_length_a 7.1688
_cell_length_b 7.1688
_cell_length_c 16.7191
_cell_angle_alpha 90.00
_cell_angle_beta 90.00
_cell_angle_gamma 120.00
loop_
_atom_site_label
_atom_site_type_symbol
_atom_site_fract_x
_atom_site_fract_y
_atom_site_fract_z
Li1 Li 0.0000 0.0000 0.0895
Li2 Li 0.0337 0.7690 0.6263
Ga1 Ga 0.0045 0.2833 0.2077
Pd1 Pd 0.0000 0.0000 0.5000
# Theoretical density = 3.88 g cm⁻³
# Energy of formation = -4.50 eV per formula unit
# Crystal system = trigonal


7.
# Tc2MoRu PBE optimized geometry
data_Tc2MoRu
_chemical_formula_sum 'Tc4 Mo2 Ru2'
_symmetry_space_group_name_H-M 'C 1 m 1'
_symmetry_Int_Tables_number 8
_cell_length_a 9.112
_cell_length_b 2.757
_cell_length_c 4.784
_cell_angle_alpha 90.00
_cell_angle_beta 100.11
_cell_angle_gamma 90.00
loop_
_symmetry_equiv_pos_as_xyz
'x,y,z'
'x,-y,z'
'x+1/2,y+1/2,z'
'x+1/2,-y+1/2,z'
loop_
_atom_site_label
_atom_site_type_symbol
_atom_site_fract_x
_atom_site_fract_y
_atom_site_fract_z
Tc1 Tc 0.000 0.000 0.000
Tc2 Tc 0.248 0.500 0.244
Mo1 Mo 0.243 0.000 0.735
Ru1 Ru 0.493 0.000 0.478
# Theoretical density = 11.03 g cm⁻³
# Energy of formation = 0.33 eV per formula unit
# Offset from the most stable computed form = 0.067 eV/atom
# Crystal system = monoclinic


8.
# Dy5Ni4 PBE optimized geometry
data_Dy5Ni4
_chemical_formula_sum 'Dy10 Ni8'
_symmetry_space_group_name_H-M 'C 1 2/m 1'
_symmetry_Int_Tables_number 12
_cell_length_a 10.310
_cell_length_b 3.692
_cell_length_c 10.642
_cell_angle_alpha 90.00
_cell_angle_beta 106.02
_cell_angle_gamma 90.00
loop_
_symmetry_equiv_pos_as_xyz
'x,y,z'
'-x,-y,-z'
'-x,y,-z'
'x,-y,z'
'x+1/2,y+1/2,z'
'-x+1/2,-y+1/2,-z'
'-x+1/2,y+1/2,-z'
'x+1/2,-y+1/2,z'
loop_
_atom_site_label
_atom_site_type_symbol
_atom_site_fract_x
_atom_site_fract_y
_atom_site_fract_z
Dy1 Dy 0.000 0.000 0.000
Dy2 Dy 0.110 0.000 0.396
Dy3 Dy 0.222 0.000 0.805
Ni1 Ni 0.010 0.500 0.808
Ni2 Ni 0.103 0.500 0.604
# Theoretical density = 8.93 g cm⁻³
# Energy of formation = -3.42 eV per formula unit
# Crystal system = monoclinic


9.
# Ta2TlRe PBE optimized geometry
data_Ta2TlRe
_chemical_formula_sum 'Ta2 Tl1 Re1'
_symmetry_space_group_name_H-M 'P 4 m m'
_symmetry_Int_Tables_number 99
_cell_length_a 3.466
_cell_length_b 3.466
_cell_length_c 6.175
_cell_angle_alpha 90.00
_cell_angle_beta 90.00
_cell_angle_gamma 90.00
loop_
_symmetry_equiv_pos_as_xyz
'x,y,z'
'-y,x,z'
'-x,-y,z'
'y,-x,z'
'-x,y,z'
'y,x,z'
'x,-y,z'
'-y,-x,z'
loop_
_atom_site_label
_atom_site_type_symbol
_atom_site_fract_x
_atom_site_fract_y
_atom_site_fract_z
Ta1 Ta 0.000 0.000 0.000
Ta2 Ta 0.500 0.500 0.229
Tl1 Tl 0.000 0.000 0.508
Re1 Re 0.500 0.500 0.787
# Theoretical density = 16.84 g cm⁻³
# Energy of formation = 1.39 eV per formula unit
# Offset from the most stable computed form = 0.143 eV/atom
# Crystal system = tetragonal


10.
# Tb2Pr4Ho2Er PBE optimized geometry
data_Tb2Pr4Ho2Er
_chemical_formula_sum 'Tb4 Pr8 Ho4 Er2'
_symmetry_space_group_name_H-M 'C 1 2/m 1'
_symmetry_Int_Tables_number 12
_cell_length_a 15.372
_cell_length_b 5.118
_cell_length_c 8.067
_cell_angle_alpha 90.00
_cell_angle_beta 108.53
_cell_angle_gamma 90.00
loop_
_symmetry_equiv_pos_as_xyz
'x,y,z'
'-x,-y,-z'
'-x,y,-z'
'x,-y,z'
'x+1/2,y+1/2,z'
'-x+1/2,-y+1/2,-z'
'-x+1/2,y+1/2,-z'
'x+1/2,-y+1/2,z'
loop_
_atom_site_label
_atom_site_type_symbol
_atom_site_fract_x
_atom_site_fract_y
_atom_site_fract_z
Tb1 Tb 0.112 0.000 0.171
Pr1 Pr 0.054 0.500 0.830
Pr2 Pr 0.223 0.000 0.831
Ho1 Ho 0.167 0.500 0.500
Er1 Er 0.000 0.000 0.500
# Theoretical density = 7.61 g cm⁻³
# Energy of formation = 0.21 eV per formula unit
# Crystal system = monoclinic


11.
# TaSiS3 PBE optimized geometry
data_TaSiS3
_chemical_formula_sum 'Ta1 Si1 S3'
_symmetry_space_group_name_H-M 'P m -3 m'
_symmetry_Int_Tables_number 221
_symmetry_space_group_name_Hall '-P 4 2 3'
_cell_length_a 4.773
_cell_length_b 4.773
_cell_length_c 4.773
_cell_angle_alpha 90.00
_cell_angle_beta 90.00
_cell_angle_gamma 90.00
loop_
_atom_site_label
_atom_site_type_symbol
_atom_site_fract_x
_atom_site_fract_y
_atom_site_fract_z
Ta1 Ta 0.000 0.000 0.000
Si1 Si 0.500 0.500 0.500
S1 S 0.000 0.000 0.500
# Theoretical density = 4.66 g cm⁻³
# Offset from the most stable computed form = 0.000 eV/atom
# Crystal system = cubic


12.
# NpInF5 PBE optimized geometry
data_NpInF5
_chemical_formula_sum 'Np4 In4 F20'
_symmetry_space_group_name_H-M 'C 1 2/c 1'
_symmetry_Int_Tables_number 15
_cell_length_a 8.998
_cell_length_b 8.166
_cell_length_c 8.722
_cell_angle_alpha 90.00
_cell_angle_beta 102.19
_cell_angle_gamma 90.00
loop_
_symmetry_equiv_pos_as_xyz
'x,y,z'
'-x,-y,-z'
'-x,y,-z+1/2'
'x,-y,z+1/2'
'x+1/2,y+1/2,z'
'-x+1/2,-y+1/2,-z'
'-x+1/2,y+1/2,-z+1/2'
'x+1/2,-y+1/2,z+1/2'
loop_
_atom_site_label
_atom_site_type_symbol
_atom_site_fract_x
_atom_site_fract_y
_atom_site_fract_z
Np1 Np 0.000 0.000 0.000
In1 In 0.000 0.482 0.250
F1 F 0.000 0.083 0.750
F2 F 0.053 0.243 0.091
F3 F 0.235 0.052 0.542
# Theoretical density = 4.74 g cm⁻³
# Raw total energy = -183.190 eV for the cell shown
# Crystal system = monoclinic